Material: ScTeF3
Method: DFT, PBEsol
State: relaxed

Structure (POSCAR):
```
ScTeF3
1.0
-2.030 -3.531 1.233
0.075 -1.441 -4.004
3.740 -1.888 0.750
Sc Te F
1 1 3
direct
0.000 0.000 0.000
0.500 0.500 0.500
0.000 0.500 0.000
0.000 0.000 0.500
0.500 0.000 0.000
```

Calculated values
* uncorrected energy: -5.6110 eV/atom
* magnetic moment: 2.0 μB per formula unit
* energy relative to the elements, uncorrected: -2.428 eV/atom
* D(E_F): 0.296 states/eV per atom
* space group: Pm-3m (221)


Material: ScTeF2
Method: DFT, PBEsol
State: relaxed

Structure (POSCAR):
```
ScTeF2
1.0
-1.338 -5.660 -2.362
5.951 -0.614 -1.899
-1.254 1.257 6.040
Sc Te F
2 2 4
direct
0.500 0.500 0.000
0.750 0.250 0.500
0.000 0.000 0.000
0.250 0.750 0.500
0.625 0.375 0.750
0.125 0.375 0.750
0.625 0.875 0.250
0.625 0.375 0.250
```

Calculated values
* uncorrected energy: -5.8744 eV/atom
* magnetic moment: 0.0 μB per formula unit
* energy relative to the elements, uncorrected: -2.378 eV/atom
* D(E_F): 0.897 states/eV per atom
* space group: I4_1/amd (141)


Material: ScTiF2
Method: DFT, PBEsol
State: relaxed

Structure (POSCAR):
```
ScTiF2
1.0
4.120 0.000 0.000
2.060 3.568 0.000
2.060 1.189 3.364
Sc F Ti
1 2 1
direct
0.000 0.000 0.000
0.250 0.250 0.250
0.750 0.750 0.750
0.500 0.500 0.500
```

Calculated values
* uncorrected energy: -5.9364 eV/atom
* magnetic moment: 0.8 μB per formula unit
* energy relative to the elements, uncorrected: -1.241 eV/atom
* D(E_F): 1.069 states/eV per atom
* space group: Fm-3m (225)


Material: ScTlF6
Method: DFT, PBEsol
State: relaxed

Structure (POSCAR):
```
ScTlF6
1.0
5.431 0.000 0.000
2.716 4.704 0.000
2.716 1.568 4.862
Sc Tl F
1 1 6
direct
0.500 0.500 0.500
0.000 0.000 0.000
0.260 0.861 0.260
0.861 0.619 0.260
0.619 0.260 0.260
0.139 0.381 0.740
0.381 0.740 0.740
0.740 0.139 0.740
```

Calculated values
* uncorrected energy: -5.4706 eV/atom
* magnetic moment: 0.0 μB per formula unit
* energy relative to the elements, uncorrected: -2.871 eV/atom
* D(E_F): 0.000 states/eV per atom
* space group: R-3 (148)